1.
A geometry-optimized TaIn2Br structure, computed with GGA-PBEsol. Values from VASP.

Structure (Quantum ESPRESSO input):
```
&SYSTEM
  ibrav = 0, nat = 4, ntyp = 3
/
ATOMIC_SPECIES
In 114.82 In.upf
Ta 180.95 Ta.upf
Br 79.90 Br.upf
ATOMIC_POSITIONS crystal
In 0.7824 0.3204 0.5647
In 0.9896 0.9668 0.9792
Ta 0.5231 0.4625 0.0463
Br 0.2049 0.7504 0.4098
CELL_PARAMETERS angstrom
3.0787 0.0000 0.0000
0.0000 5.2601 -0.0077
-1.5394 -1.5730 5.3305
```

- ρ: 9.4 g/cm3
- SG: No. 8
- Fermi-level density of states: 1.047 states/eV/f.u.
- Formation energy without anion corrections: 0.25 eV/f.u.
- Volume: 21.57 A^3/atom
- ΔE to the lowest computed polymorph: 0.0 meV per atom

2.
A geometry-optimized Sm5AgS8 structure, computed with GGA-PBEsol. Values from VASP.

Structure (Quantum ESPRESSO input):
```
&SYSTEM
  ibrav = 0, nat = 14, ntyp = 3
/
ATOMIC_SPECIES
Sm 150.36 Sm.upf
S 32.06 S.upf
Ag 107.87 Ag.upf
ATOMIC_POSITIONS crystal
Sm 0.0123 0.1308 0.3794
Sm 0.7513 0.6329 0.6206
Sm 0.3671 0.9877 0.1184
Sm 0.8692 0.2487 0.8816
Sm 0.5000 0.5000 0.0000
S 0.1344 0.0265 0.7509
S 0.2756 0.3835 0.2491
S 0.6165 0.8656 0.8921
S 0.6420 0.8829 0.3977
S 0.7556 0.3580 0.2408
S 0.4852 0.2444 0.6023
S 0.9735 0.7244 0.1079
S 0.1171 0.5148 0.7592
Ag 0.2500 0.7500 0.5000
CELL_PARAMETERS angstrom
7.2204 0.0155 0.0000
-2.3422 6.8300 0.0000
-2.4391 -3.4228 5.8711
```

- ρ: 6.4 g/cm3
- SG: No. 82
- Fermi-level density of states: 0.000 states/eV/f.u.
- Formation energy without anion corrections: -26.57 eV/f.u.
- Volume: 20.70 A^3/atom

3.
A geometry-optimized Ca2TeRh structure, computed with GGA-PBEsol. Values from VASP.

Structure (Quantum ESPRESSO input):
```
&SYSTEM
  ibrav = 0, nat = 4, ntyp = 3
/
ATOMIC_SPECIES
Rh 102.91 Rh.upf
Ca 40.08 Ca.upf
Te 127.60 Te.upf
ATOMIC_POSITIONS crystal
Rh 0.5000 0.5000 0.0000
Ca 0.0001 0.0000 0.2365
Ca 0.9999 0.0000 0.7635
Te 0.5000 0.5000 0.5000
CELL_PARAMETERS angstrom
-1.1103 -1.2035 3.3769
2.8206 -2.4754 0.0452
3.8431 4.4310 2.8427
```

- ρ: 5.6 g/cm3
- SG: No. 123
- Fermi-level density of states: 1.722 states/eV/f.u.
- Formation energy without anion corrections: -2.79 eV/f.u.
- Volume: 22.95 A^3/atom